The following is a PBE-GGA calculation of a relaxed structure of YCdAg4, from the Open Quantum Materials Database.

Cell: 5.577 5.577 5.577 Å, 60.12 60.12 60.12°
Sites, in units of the cell vectors:
Ag: 0.625 0.625 0.124
Ag: 0.625 0.124 0.625
Ag: 0.124 0.625 0.625
Ag: 0.626 0.626 0.626
Cd: 0.999 0.999 0.999
Y: 0.250 0.250 0.250

Output
The calculation puts the volume at 123 Å³/f.u. As for the symmetry: R3m. The energy of formation from the pure elements comes out at -21 kJ/mol of atoms. The electronic total energy comes out at -3.326 eV per atom.